No. 1
This record from Alexandria describes a relaxed BaLi4Cd2In crystal. The functional is PBE.

Lattice parameters (Å, degrees): 4.778 4.778 10.367 76.68 76.68 60.00
Each line ends with the local moment (μB).
Positions (direct):
Li 0.411 0.411 0.768  0.01
Li 0.865 0.865 0.406  0.00
Li 0.135 0.135 0.594  0.00
Li 0.589 0.589 0.232  0.01
Cd 0.236 0.236 0.292  0.00
Cd 0.764 0.764 0.708  0.00
Ba 0.000 0.000 0.000  0.06
In 0.500 0.500 0.500  0.00

Calculated values
The calculation puts the total moment at 0.3 Bohr magnetons per cell. Its formation energy is -0.19 eV/atom. For the volume, the calculation gives 24.69 A^3/atom. Its total energy is -1.96 eV/atom. As for the density of states at the Fermi level: 5.1 states/eV/f.u.

=====

No. 2
This record from Alexandria describes a relaxed BaLiCd2In4 crystal. The functional is PBE.

Lattice parameters (Å, degrees): 4.977 4.977 10.653 76.49 76.49 60.00
Positions (direct):
Ba 0.000 0.000 0.000
In 0.133 0.133 0.602
In 0.598 0.598 0.205
In 0.867 0.867 0.398
In 0.402 0.402 0.795
Cd 0.762 0.762 0.714
Cd 0.238 0.238 0.286
Li 0.500 0.500 0.500

Calculated values
The calculation puts the total moment at 0.0 Bohr magnetons per cell. Its formation energy is -0.22 eV/atom. For the volume, the calculation gives 27.51 A^3/atom. Its total energy is -2.29 eV/atom. As for the density of states at the Fermi level: 3.6 states/eV/f.u.

=====

No. 3
This record from Alexandria describes a relaxed BaLi6CdIn crystal. The functional is PBE.

Lattice parameters (Å, degrees): 10.311 7.295 8.976 113.97 125.05 90.00
Positions (direct):
In 0.500 0.500 0.000
In 0.500 0.000 0.000
Li 0.592 0.810 0.741
Li 0.851 0.569 0.259
Li 0.851 0.190 0.259
Li 0.408 0.569 0.259
Li 0.244 0.494 0.488
Li 0.149 0.431 0.741
Li 0.592 0.431 0.741
Li 0.667 0.917 0.334
Li 0.333 0.083 0.666
Li 0.408 0.190 0.259
Li 0.756 0.506 0.512
Li 0.149 0.810 0.741
Cd 0.000 0.000 0.500
Cd 0.500 0.000 0.500
Ba 0.938 0.188 0.876
Ba 0.062 0.812 0.124

Calculated values
The calculation puts the total moment at 0.0 Bohr magnetons per cell. Its formation energy is 0.00 eV/atom. For the volume, the calculation gives 26.65 A^3/atom. Its total energy is -1.89 eV/atom. As for the density of states at the Fermi level: 5.1 states/eV/f.u.

=====

No. 4
This record from Alexandria describes a relaxed BaLi2CdIn crystal. The functional is PBE.

Lattice parameters (Å, degrees): 5.336 5.336 5.556 90.00 90.00 90.00
Positions (direct):
Li 0.000 0.500 0.000
Li 0.500 0.000 0.000
In 0.000 0.000 0.000
Cd 0.000 0.000 0.500
Ba 0.500 0.500 0.500

Calculated values
The calculation puts the total moment at 0.0 Bohr magnetons per cell. Its formation energy is -0.12 eV/atom. For the volume, the calculation gives 31.64 A^3/atom. As for the relative energy among the computed polymorphs: 0.000 eV/atom. Its total energy is -2.00 eV/atom. As for the density of states at the Fermi level: 1.8 states/eV/f.u.

=====

No. 5
This record from Alexandria describes a relaxed BaLi2Cd4In crystal. The functional is PBE.

Lattice parameters (Å, degrees): 4.803 4.803 11.001 77.39 77.39 60.00
Positions (direct):
Li 0.225 0.225 0.325
Li 0.775 0.775 0.675
Cd 0.405 0.405 0.784
Cd 0.879 0.879 0.362
Cd 0.121 0.121 0.638
Cd 0.595 0.595 0.216
In 0.500 0.500 0.500
Ba 0.000 0.000 0.000

Calculated values
The calculation puts the total moment at 0.0 Bohr magnetons per cell. Its formation energy is -0.21 eV/atom. For the volume, the calculation gives 26.58 A^3/atom. Its total energy is -1.73 eV/atom. As for the density of states at the Fermi level: 4.7 states/eV/f.u.

=====

No. 6
This record from Alexandria describes a relaxed BaLuCdIn crystal. The functional is PBE.

Lattice parameters (Å, degrees): 5.637 5.637 5.637 60.00 60.00 60.00
Positions (direct):
Ba 0.000 0.000 0.000
In 0.750 0.750 0.750
Cd 0.250 0.250 0.250
Lu 0.500 0.500 0.500

Calculated values
The calculation puts the total moment at 0.0 Bohr magnetons per cell. Its formation energy is -0.23 eV/atom. For the volume, the calculation gives 31.66 A^3/atom. Its total energy is -2.75 eV/atom. As for the density of states at the Fermi level: 3.2 states/eV/f.u.

=====

No. 7
This record from Alexandria describes a relaxed BaMgCd2In crystal. The functional is PBE.

Lattice parameters (Å, degrees): 4.800 4.800 7.248 109.34 109.34 90.00
Positions (direct):
Cd 0.613 0.613 0.227
Cd 0.387 0.387 0.773
In 0.750 0.250 0.500
Mg 0.250 0.750 0.500
Ba 0.000 0.000 0.000

Calculated values
The calculation puts the total moment at 0.0 Bohr magnetons per cell. Its formation energy is -0.29 eV/atom. For the volume, the calculation gives 29.51 A^3/atom. Its total energy is -1.91 eV/atom. As for the density of states at the Fermi level: 3.6 states/eV/f.u.

=====

No. 8
This record from Alexandria describes a relaxed BaMg2CdIn4 crystal. The functional is PBE.

Lattice parameters (Å, degrees): 5.139 5.139 10.417 75.72 75.72 60.00
Positions (direct):
In 0.400 0.400 0.800
In 0.128 0.128 0.616
In 0.872 0.872 0.384
In 0.600 0.600 0.200
Cd 0.500 0.500 0.500
Ba 0.000 0.000 0.000
Mg 0.760 0.760 0.719
Mg 0.240 0.240 0.281

Calculated values
The calculation puts the total moment at 0.0 Bohr magnetons per cell. Its formation energy is -0.17 eV/atom. For the volume, the calculation gives 28.55 A^3/atom. Its total energy is -2.29 eV/atom. As for the density of states at the Fermi level: 4.5 states/eV/f.u.

=====

No. 9
This record from Alexandria describes a relaxed BaMg2Cd4In crystal. The functional is PBE.

Lattice parameters (Å, degrees): 4.935 4.935 10.929 76.95 76.95 60.00
Positions (direct):
Cd 0.402 0.402 0.794
Cd 0.875 0.875 0.376
Cd 0.125 0.125 0.624
Cd 0.598 0.598 0.206
Mg 0.763 0.763 0.711
Mg 0.237 0.237 0.289
Ba 0.000 0.000 0.000
In 0.500 0.500 0.500

Calculated values
The calculation puts the total moment at 0.0 Bohr magnetons per cell. Its formation energy is -0.14 eV/atom. For the volume, the calculation gives 27.82 A^3/atom. Its total energy is -1.58 eV/atom. As for the density of states at the Fermi level: 3.7 states/eV/f.u.

=====

No. 10
This record from Alexandria describes a relaxed Ba2Mg4Cd3In crystal. The functional is PBE.

Lattice parameters (Å, degrees): 4.817 4.817 12.898 90.00 90.00 90.00
Positions (direct):
Mg 0.500 0.000 0.633
Mg 0.500 0.500 0.000
Mg 0.000 0.000 0.000
Mg 0.000 0.500 0.367
In 0.500 0.500 0.500
Cd 0.000 0.500 0.138
Cd 0.000 0.000 0.500
Cd 0.500 0.000 0.862
Ba 0.000 0.500 0.747
Ba 0.500 0.000 0.253

Calculated values
The calculation puts the total moment at 0.0 Bohr magnetons per cell. Its formation energy is -0.22 eV/atom. For the volume, the calculation gives 29.92 A^3/atom. Its total energy is -1.79 eV/atom. As for the density of states at the Fermi level: 6.1 states/eV/f.u.

=====

No. 11
This record from Alexandria describes a relaxed Ba2MgCd3In4 crystal. The functional is PBE.

Lattice parameters (Å, degrees): 4.919 4.919 12.380 90.00 90.00 90.00
Positions (direct):
Ba 0.500 0.000 0.249
Ba 0.000 0.500 0.751
Cd 0.500 0.000 0.863
Cd 0.000 0.500 0.137
Cd 0.000 0.000 0.500
In 0.000 0.000 0.000
In 0.000 0.500 0.368
In 0.500 0.000 0.632
In 0.500 0.500 0.000
Mg 0.500 0.500 0.500

Calculated values
The calculation puts the total moment at 0.0 Bohr magnetons per cell. Its formation energy is -0.33 eV/atom. For the volume, the calculation gives 29.96 A^3/atom. Its total energy is -2.24 eV/atom. As for the density of states at the Fermi level: 5.9 states/eV/f.u.

=====

Number 6 is which compound?
BaLuCdIn

=====

Copy entry 2 word for word.
This record from Alexandria describes a relaxed BaLiCd2In4 crystal. The functional is PBE.

Lattice parameters (Å, degrees): 4.977 4.977 10.653 76.49 76.49 60.00
Positions (direct):
Ba 0.000 0.000 0.000
In 0.133 0.133 0.602
In 0.598 0.598 0.205
In 0.867 0.867 0.398
In 0.402 0.402 0.795
Cd 0.762 0.762 0.714
Cd 0.238 0.238 0.286
Li 0.500 0.500 0.500

Calculated values
The calculation puts the total moment at 0.0 Bohr magnetons per cell. Its formation energy is -0.22 eV/atom. For the volume, the calculation gives 27.51 A^3/atom. Its total energy is -2.29 eV/atom. As for the density of states at the Fermi level: 3.6 states/eV/f.u.

=====

Which of these has the lowest total energy?
BaLuCdIn